{"formula": "YIn6Cu6", "functional": "PBEsol", "state": "optimized geometry", "final_energy_ev_per_fu": -53.05, "formation_energy_kj_per_mol_atoms": -17, "spacegroup": "Immm, No. 71", "cell": [[5.3381, 0.0000, 0.0000], [2.6690, 6.4363, 0.0034], [2.6690, 0.0495, 6.4361]], "species": ["Y", "In", "In", "In", "In", "In", "In", "Cu", "Cu", "Cu", "Cu", "Cu", "Cu"], "fractional_positions": [[0.0000, 0.0000, 0.0000], [0.0000, 0.3370, 0.6630], [0.0000, 0.6630, 0.3370], [0.6579, 0.3421, 0.3421], [0.3421, 0.6579, 0.6579], [0.6811, 0.8189, 0.8189], [0.3189, 0.1811, 0.1811], [0.0000, 0.0000, 0.5000], [0.5000, 0.0000, 0.5000], [0.5000, 0.5000, 0.0000], [0.0000, 0.5000, 0.0000], [0.5000, 0.7634, 0.2366], [0.5000, 0.2366, 0.7634]]}

{"formula": "YIn7Cu5", "functional": "PBEsol", "state": "optimized geometry", "final_energy_ev_per_fu": -50.95, "formation_energy_kj_per_mol_atoms": -12, "spacegroup": "Imm2, No. 44", "cell": [[5.5099, 0.0000, 0.0000], [2.7550, 6.5495, -0.0342], [2.7550, -0.0014, 6.5495]], "species": ["Y", "In", "In", "In", "In", "In", "In", "In", "Cu", "Cu", "Cu", "Cu", "Cu"], "fractional_positions": [[0.9998, 0.0002, 0.0002], [0.3454, 0.6546, 0.6546], [0.6636, 0.3364, 0.3364], [0.0129, 0.3244, 0.6498], [0.0129, 0.6498, 0.3244], [0.7314, 0.7686, 0.7686], [0.4861, 0.8234, 0.2044], [0.4861, 0.2044, 0.8234], [0.9921, 0.4946, 0.0061], [0.5072, 0.4946, 0.0061], [0.9921, 0.0061, 0.4946], [0.5072, 0.0061, 0.4946], [0.2631, 0.2369, 0.2369]]}

{"formula": "Zn2InCu", "functional": "PBEsol", "state": "optimized geometry", "final_energy_ev_per_fu": -10.18, "formation_energy_kj_per_mol_atoms": 7, "spacegroup": "Immm, No. 71", "cell": [[2.7671, 0.0000, 0.0000], [0.0000, 4.5036, 0.0000], [-1.3835, -2.2518, 5.1236]], "species": ["Cu", "In", "Zn", "Zn"], "fractional_positions": [[0.5000, 0.0000, 0.0000], [0.0000, 0.5000, 0.0000], [0.7836, 0.7836, 0.5673], [0.2164, 0.2164, 0.4327]]}

{"formula": "ZnInCu2", "functional": "PBEsol", "state": "optimized geometry", "final_energy_ev_per_fu": -13.16, "formation_energy_kj_per_mol_atoms": 2, "spacegroup": "Pmm2, No. 25", "cell": [[2.8922, 0.0000, 0.0131], [0.0000, 4.2705, 0.0000], [-0.0202, 0.0000, 4.6747]], "species": ["Zn", "Cu", "Cu", "In"], "fractional_positions": [[0.3751, 0.5000, 0.8303], [0.8750, 0.0000, 0.9484], [0.8749, 0.5000, 0.2770], [0.3749, 0.0000, 0.4443]]}

{"formula": "Zn2InCu", "functional": "PBEsol", "state": "optimized geometry", "final_energy_ev_per_fu": -10.10, "formation_energy_kj_per_mol_atoms": 9, "spacegroup": "Cmmm, No. 65", "cell": [[3.9614, 0.0000, 0.0000], [0.0000, 3.9510, 0.4436], [0.0000, -0.8384, 3.8864]], "species": ["Cu", "In", "Zn", "Zn"], "fractional_positions": [[0.5000, 0.0000, 0.0000], [0.5000, 0.5000, 0.5000], [0.0000, 0.5000, 0.0000], [0.0000, 0.0000, 0.5000]]}

{"formula": "ZnIn3Cu", "functional": "PBEsol", "state": "optimized geometry", "final_energy_ev_per_fu": -13.46, "formation_energy_kj_per_mol_atoms": 27, "spacegroup": "Pm-3m, No. 221", "cell": [[-0.1561, 0.9437, 4.8670], [-2.6467, -4.1333, 0.7165], [4.1921, -2.5745, 0.6336]], "species": ["Zn", "Cu", "In", "In", "In"], "fractional_positions": [[0.5000, 0.5000, 0.5000], [0.0000, 0.0000, 0.0000], [0.0000, 0.5000, 0.0000], [0.0000, 0.0000, 0.5000], [0.5000, 0.0000, 0.0000]]}

{"formula": "Zn2InCu", "functional": "PBEsol", "state": "optimized geometry", "final_energy_ev_per_fu": -10.11, "formation_energy_kj_per_mol_atoms": 9, "spacegroup": "P4mm, No. 99", "cell": [[2.9109, 0.0000, 0.0000], [0.0000, 2.9109, 0.0000], [0.0000, 0.0000, 7.4740]], "species": ["Cu", "In", "Zn", "Zn"], "fractional_positions": [[0.0000, 0.0000, 0.4674], [0.5000, 0.5000, 0.7286], [0.0000, 0.0000, 0.0372], [0.5000, 0.5000, 0.2668]]}

{"formula": "ZnInCu2", "functional": "PBEsol", "state": "optimized geometry", "final_energy_ev_per_fu": -13.24, "formation_energy_kj_per_mol_atoms": 0, "spacegroup": "P4/mmm, No. 123", "cell": [[-3.0410, -0.2608, -0.0545], [0.2394, -2.9484, 0.7538], [-0.2344, 1.4955, 5.9236]], "species": ["Zn", "Cu", "Cu", "In"], "fractional_positions": [[0.5000, 0.5000, 0.5000], [0.0000, 0.0000, 0.7153], [0.0000, 0.0000, 0.2847], [0.5000, 0.5000, 0.0000]]}

{"formula": "ZrIn2Cu", "functional": "PBEsol", "state": "optimized geometry", "final_energy_ev_per_fu": -20.39, "formation_energy_kj_per_mol_atoms": -24, "spacegroup": "P4/mmm, No. 123", "cell": [[-0.9613, -1.8616, 3.5985], [0.8881, -3.7908, -1.7238], [4.0466, 0.3695, 1.2722]], "species": ["Cu", "Zr", "In", "In"], "fractional_positions": [[0.5000, 0.0000, 0.0000], [0.5000, 0.5000, 0.5000], [0.0000, 0.0000, 0.5000], [0.0000, 0.5000, 0.0000]]}

{"formula": "Cu3Ir2", "functional": "PBEsol", "state": "optimized geometry", "final_energy_ev_per_fu": -32.20, "formation_energy_kj_per_mol_atoms": 9, "spacegroup": "R-3m, No. 166", "cell": [[-1.5970, -0.0476, -2.1001], [0.5479, -1.5835, -2.0386], [-5.9814, -8.2297, 3.0770]], "species": ["Ir", "Ir", "Cu", "Cu", "Cu"], "fractional_positions": [[0.5990, 0.5990, 0.2030], [0.4010, 0.4010, 0.7970], [0.0000, 0.0000, 0.0000], [0.8020, 0.8020, 0.5939], [0.1980, 0.1980, 0.4061]]}

{"formula": "Cu3Ir", "functional": "PBEsol", "state": "optimized geometry", "final_energy_ev_per_fu": -22.36, "formation_energy_kj_per_mol_atoms": 11, "spacegroup": "Pmm2, No. 25", "cell": [[-1.0111, -0.3526, -2.4316], [1.8276, -3.7939, -0.2098], [-3.5544, -1.8084, 1.7403]], "species": ["Cu", "Cu", "Cu", "Ir"], "fractional_positions": [[0.0000, 0.0000, 0.9825], [0.5000, 0.0000, 0.4812], [0.5000, 0.5000, 0.8506], [0.0000, 0.5000, 0.3524]]}

{"formula": "Cu3Ir", "functional": "PBEsol", "state": "optimized geometry", "final_energy_ev_per_fu": -22.61, "formation_energy_kj_per_mol_atoms": 5, "spacegroup": "Pnma, No. 62", "cell": [[-4.3640, -1.0077, 0.4117], [-0.0348, -1.8048, -4.7870], [2.0388, -7.6562, 2.8717]], "species": ["Cu", "Cu", "Cu", "Cu", "Cu", "Cu", "Cu", "Cu", "Cu", "Cu", "Cu", "Cu", "Ir", "Ir", "Ir", "Ir"], "fractional_positions": [[0.5776, 0.1356, 0.7500], [0.2527, 0.6223, 0.0040], [0.2527, 0.6223, 0.4960], [0.2473, 0.1223, 0.5040], [0.2473, 0.1223, 0.9960], [0.9224, 0.6356, 0.2500], [0.0776, 0.3644, 0.7500], [0.7527, 0.8777, 0.0040], [0.7527, 0.8777, 0.4960], [0.7473, 0.3777, 0.5040], [0.7473, 0.3777, 0.9960], [0.4224, 0.8644, 0.2500], [0.4246, 0.3635, 0.2500], [0.0754, 0.8635, 0.7500], [0.9246, 0.1365, 0.2500], [0.5754, 0.6365, 0.7500]]}